Version w
Compound: PrMg2Zr
Source: the Alexandria database
Functional: PBE
Structure: relaxed

Properties
DOS(E_F) ... 4.58 states/eV per cell
Total magnetic moment ... 0.0 μB/cell
V ... 25.6 A^3/atom

a b c (Å): 3.6533 3.6533 7.6688
angles (deg): 90.00 90.00 90.00
Last column: nearest neighbours and their distance in Å.
Space group P4/mmm (No. 123)
Symmetry-distinct sites (fractional):
Pr 0.0000 0.0000 0.0000  8 Mg 3.36, 4 Pr 3.65
Mg 0.5000 0.5000 0.2811  4 Zr 3.08, 1 Mg 3.36, 4 Pr 3.36
Zr 0.0000 0.0000 0.5000  8 Mg 3.08


Version x
Compound: PrMg2Zr
Source: the Alexandria database
Functional: PBE
Structure: relaxed

Properties
DOS(E_F) ... 16.34 states/eV per cell
Total magnetic moment ... 0.0 μB/cell
V ... 26.0 A^3/atom

a b c (Å): 3.2482 3.2482 34.1420
angles (deg): 90.00 90.00 120.00
Last column: nearest neighbours and their distance in Å.
Space group R-3m (No. 166, hexagonal axes)
Symmetry-distinct sites (fractional):
Pr 0.0000 0.0000 0.0000  6 Pr 3.25, 6 Mg 3.56
Mg 0.0000 0.0000 0.2447  6 Mg 3.25, 3 Zr 3.26, 3 Pr 3.56
Zr 0.0000 0.0000 0.5000  6 Zr 3.25, 6 Mg 3.26


Stability, highest: version w


Version w
Compound: PrMgZr
Source: the Alexandria database
Functional: PBE
Structure: relaxed

Properties
DOS(E_F) ... 12.55 states/eV per cell
Total magnetic moment ... 0.0 μB/cell
V ... 27.2 A^3/atom

a b c (Å): 16.9045 3.3385 5.7857
angles (deg): 90.00 90.00 90.00
Last column: nearest neighbours and their distance in Å.
Space group Amm2 (No. 38)
Symmetry-distinct sites (fractional):
Pr 0.1807 0.0000 0.0000  6 Pr 3.34, 3 Zr 3.37, 3 Mg 3.61
Mg 0.0000 0.0000 0.3326  6 Mg 3.34, 6 Pr 3.61
Mg 0.5000 0.0000 0.0012  6 Zr 3.26-3.27, 6 Mg 3.34
Zr 0.3440 0.0000 0.3333  3 Mg 3.26-3.27, 6 Zr 3.34, 3 Pr 3.37


Version x
Compound: PrMgZr
Source: the Alexandria database
Functional: PBE
Structure: relaxed

Properties
DOS(E_F) ... 4.08 states/eV per cell
Total magnetic moment ... 0.0 μB/cell
V ... 27.0 A^3/atom

a b c (Å): 3.4006 3.4006 14.0291
angles (deg): 90.00 90.00 90.00
Last column: nearest neighbours and their distance in Å.
Space group I4mm (No. 107)
Symmetry-distinct sites (fractional):
Pr 0.0000 0.0000 0.0000  4 Zr 3.40, 4 Pr 3.40, 4 Mg 3.52
Mg 0.0000 0.0000 0.6828  4 Zr 3.16, 4 Mg 3.40, 4 Pr 3.52
Zr 0.0000 0.0000 0.3288  4 Mg 3.16, 4 Pr 3.40, 4 Zr 3.40


Stability, highest: version x


Version w
Compound: Mg2Pt3
Source: the Alexandria database
Functional: PBE
Structure: relaxed

Properties
DOS(E_F) ... 2.75 states/eV per cell
Total magnetic moment ... 0.0 μB/cell
V ... 17.0 A^3/atom

a b c (Å): 4.2926 4.2926 5.3396
angles (deg): 90.00 90.00 120.00
Last column: nearest neighbours and their distance in Å.
Space group P-3m1 (No. 164)
Symmetry-distinct sites (fractional):
Mg 0.3333 0.6667 0.3264  8 Pt 2.60-2.74
Pt 0.0000 0.0000 0.5000  6 Mg 2.65
Pt 0.3333 0.6667 0.8403  5 Mg 2.60-2.74


Version x
Compound: Mg2Pt3
Source: the Alexandria database
Functional: PBE
Structure: relaxed

Properties
DOS(E_F) ... 21.40 states/eV per cell
Total magnetic moment ... 0.0 μB/cell
V ... 16.1 A^3/atom

a b c (Å): 9.5386 13.4109 5.0461
angles (deg): 90.00 90.00 90.00
Last column: nearest neighbours and their distance in Å.
Space group Fdd2 (No. 43)
Symmetry-distinct sites (fractional):
Mg 0.0354 0.3020 0.0000  9 Pt 2.67-2.97, 2 Mg 2.96
Pt 0.0000 0.0000 0.4385  6 Mg 2.67-2.97, 4 Pt 2.78-2.96
Pt 0.0506 0.3975 0.4696  6 Mg 2.70-2.97, 5 Pt 2.76-2.96


Stability, highest: version x


Version w
Compound: Mg4Pt5
Source: the Alexandria database
Functional: PBE
Structure: relaxed

Properties
DOS(E_F) ... 7.73 states/eV per cell
Total magnetic moment ... 0.0 μB/cell
V ... 16.6 A^3/atom

a b c (Å): 8.5858 8.5858 4.0642
angles (deg): 90.00 90.00 90.00
Last column: nearest neighbours and their distance in Å.
Space group I4/mmm (No. 139)
Symmetry-distinct sites (fractional):
Mg 0.0000 0.3022 0.0000  7 Pt 2.59-2.86
Pt 0.0000 0.0000 0.0000  4 Mg 2.59, 8 Pt 2.88
Pt 0.1684 0.1684 0.5000  6 Mg 2.75-2.86, 6 Pt 2.84-2.89


Version x
Compound: Mg4Pt5
Source: the Alexandria database
Functional: PBE
Structure: relaxed

Properties
DOS(E_F) ... 6.46 states/eV per cell
Total magnetic moment ... 0.0 μB/cell
V ... 16.2 A^3/atom

a b c (Å): 7.8073 7.8073 5.5319
angles (deg): 90.00 90.00 120.00
Last column: nearest neighbours and their distance in Å.
Space group P6_3/mcm (No. 193)
Symmetry-distinct sites (fractional):
Mg 0.0000 0.0000 0.0000  6 Pt 2.76, 2 Mg 2.77
Mg 0.0000 0.3644 0.2500  9 Pt 2.58-2.85
Pt 0.0000 0.3056 0.7500  7 Mg 2.58-2.80
Pt 0.3333 0.6667 0.0000  8 Pt 2.77-3.05, 6 Mg 2.85


Stability, highest: version w


Version w
Compound: RbMgPt3
Source: the Alexandria database
Functional: PBE
Structure: relaxed

Properties
DOS(E_F) ... 2.23 states/eV per cell
Total magnetic moment ... 0.0 μB/cell
V ... 23.3 A^3/atom

a b c (Å): 4.8864 4.8864 4.8864
angles (deg): 90.00 90.00 90.00
Last column: nearest neighbours and their distance in Å.
Space group Pm-3m (No. 221)
Symmetry-distinct sites (fractional):
Rb 0.0000 0.0000 0.0000  12 Pt 3.46
Mg 0.5000 0.5000 0.5000  6 Pt 2.44
Pt 0.0000 0.5000 0.5000  2 Mg 2.44


Version x
Compound: RbMgPt3
Source: the Alexandria database
Functional: PBE
Structure: relaxed

Properties
DOS(E_F) ... 6.53 states/eV per cell
Total magnetic moment ... 0.0 μB/cell
V ... 26.8 A^3/atom

a b c (Å): 5.1175 5.1175 5.1175
angles (deg): 90.00 90.00 90.00
Last column: nearest neighbours and their distance in Å.
Space group Pm-3m (No. 221)
Symmetry-distinct sites (fractional):
Rb 0.0000 0.0000 0.0000  6 Pt 2.56
Mg 0.5000 0.5000 0.5000  12 Pt 3.62
Pt 0.0000 0.0000 0.5000  2 Rb 2.56


Stability, highest: version w


Version w
Compound: RbMg2Pt
Source: the Alexandria database
Functional: PBE
Structure: relaxed

Properties
DOS(E_F) ... 6.61 states/eV per cell
Total magnetic moment ... 0.0 μB/cell
V ... 23.6 A^3/atom

a b c (Å): 7.2292 7.2292 7.2292
angles (deg): 90.00 90.00 90.00
Last column: nearest neighbours and their distance in Å.
Space group Fm-3m (No. 225)
Symmetry-distinct sites (fractional):
Rb 0.0000 0.0000 0.0000  8 Mg 3.13
Mg 0.2500 0.2500 0.2500  4 Rb 3.13, 4 Pt 3.13
Pt 0.0000 0.0000 0.5000  8 Mg 3.13


Version x
Compound: RbMg2Pt
Source: the Alexandria database
Functional: PBE
Structure: relaxed

Properties
DOS(E_F) ... 10.60 states/eV per cell
Total magnetic moment ... 0.0 μB/cell
V ... 38.5 A^3/atom

a b c (Å): 6.2109 6.2109 15.9737
angles (deg): 90.00 90.00 90.00
Last column: nearest neighbours and their distance in Å.
Space group I4_1/amd (No. 141, origin choice 2)
Symmetry-distinct sites (fractional):
Rb 0.0000 0.2500 0.3750  8 Mg 4.01, 4 Pt 4.39
Mg 0.0000 0.0000 0.0000  2 Pt 2.53
Pt 0.0000 0.2500 0.8750  4 Mg 2.53


Stability, highest: version x


Version w
Compound: Mg2RePt
Source: the Alexandria database
Functional: PBE
Structure: relaxed

Properties
DOS(E_F) ... 15.51 states/eV per cell
Total magnetic moment ... 4.5 μB/cell
V ... 17.8 A^3/atom

a b c (Å): 7.3199 7.3199 5.3269
angles (deg): 90.00 90.00 90.00
Last column: nearest neighbours and their distance in Å.
Space group I-42d (No. 122)
Symmetry-distinct sites (fractional):
Mg 0.2301 0.2500 0.1250  2 Pt 2.57, 2 Mg 2.68, 2 Re 2.77
Re 0.0000 0.0000 0.5000  2 Pt 2.66, 4 Mg 2.77
Pt 0.0000 0.0000 0.0000  4 Mg 2.57, 2 Re 2.66


Version x
Compound: Mg2RePt
Source: the Alexandria database
Functional: PBE
Structure: relaxed

Properties
DOS(E_F) ... 14.38 states/eV per cell
Total magnetic moment ... 0.0 μB/cell
V ... 17.1 A^3/atom

a b c (Å): 2.8903 2.8903 28.3717
angles (deg): 90.00 90.00 120.00
Last column: nearest neighbours and their distance in Å.
Space group R3m (No. 160, hexagonal axes)
Symmetry-distinct sites (fractional):
Mg 0.0000 0.0000 0.0000  3 Pt 2.76, 6 Mg 2.89
Mg 0.0000 0.0000 0.2349  3 Re 2.84, 6 Mg 2.89
Re 0.0000 0.0000 0.4871  3 Pt 2.73, 3 Mg 2.84, 6 Re 2.89
Pt 0.0000 0.0000 0.7442  3 Re 2.73, 3 Mg 2.76, 6 Pt 2.89


Stability, highest: version x


Version w
Compound: Mg2RePt
Source: the Alexandria database
Functional: PBE
Structure: relaxed

Properties
DOS(E_F) ... 2.75 states/eV per cell
Total magnetic moment ... 0.0 μB/cell
V ... 16.1 A^3/atom

a b c (Å): 2.7942 4.7478 4.8562
angles (deg): 90.00 90.00 90.00
Last column: nearest neighbours and their distance in Å.
Space group Pmm2 (No. 25)
Symmetry-distinct sites (fractional):
Mg 0.0000 0.0000 0.0000  4 Re 2.79-2.82, 6 Mg 2.79-2.87, 2 Pt 2.90
Mg 0.5000 0.5000 0.1660  4 Pt 2.76-2.84, 6 Mg 2.79-2.87, 2 Re 2.89
Re 0.5000 0.0000 0.5037  6 Mg 2.79-2.89, 2 Re 2.79, 4 Pt 2.85
Pt 0.0000 0.5000 0.6571  6 Mg 2.76-2.90, 2 Pt 2.79, 4 Re 2.85


Version x
Compound: Mg2RePt
Source: the Alexandria database
Functional: PBE
Structure: relaxed

Properties
DOS(E_F) ... 8.49 states/eV per cell
Total magnetic moment ... 10.0 μB/cell
V ... 16.6 A^3/atom

a b c (Å): 6.4242 6.4242 6.4242
angles (deg): 90.00 90.00 90.00
Last column: nearest neighbours and their distance in Å.
Space group F-43m (No. 216)
Symmetry-distinct sites (fractional):
Mg 0.0000 0.0000 0.0000  4 Re 2.78, 4 Mg 2.78
Mg 0.2500 0.2500 0.2500  4 Mg 2.78, 4 Pt 2.78
Re 0.2500 0.2500 0.7500  4 Mg 2.78, 4 Pt 2.78
Pt 0.0000 0.0000 0.5000  4 Re 2.78, 4 Mg 2.78


Version y
Compound: Mg2RePt
Source: the Alexandria database
Functional: PBE
Structure: relaxed

Properties
DOS(E_F) ... 1.62 states/eV per cell
Total magnetic moment ... 0.0 μB/cell
V ... 15.9 A^3/atom

a b c (Å): 4.6975 4.6975 2.8834
angles (deg): 90.00 90.00 90.00
Last column: nearest neighbours and their distance in Å.
Space group P4/mmm (No. 123)
Symmetry-distinct sites (fractional):
Mg 0.0000 0.5000 0.0000  4 Re 2.76, 4 Pt 2.76, 2 Mg 2.88
Re 0.0000 0.0000 0.5000  8 Mg 2.76, 2 Re 2.88
Pt 0.5000 0.5000 0.5000  8 Mg 2.76, 2 Pt 2.88


Version z
Compound: Mg2RePt
Source: the Alexandria database
Functional: PBE
Structure: relaxed

Properties
DOS(E_F) ... 7.34 states/eV per cell
Total magnetic moment ... 0.0 μB/cell
V ... 16.1 A^3/atom

a b c (Å): 2.8581 2.8581 27.3291
angles (deg): 90.00 90.00 120.00
Last column: nearest neighbours and their distance in Å.
Space group R-3m (No. 166, hexagonal axes)
Symmetry-distinct sites (fractional):
Mg 0.0000 0.0000 0.2477  3 Pt 2.76, 6 Mg 2.86, 3 Re 2.86
Re 0.0000 0.0000 0.0000  6 Re 2.86, 6 Mg 2.86
Pt 0.0000 0.0000 0.5000  6 Mg 2.76, 6 Pt 2.86


Stability, highest: version z


Version w
Compound: MgRePt
Source: the Alexandria database
Functional: PBE
Structure: relaxed

Properties
DOS(E_F) ... 6.07 states/eV per cell
Total magnetic moment ... 1.0 μB/cell
V ... 15.9 A^3/atom

a b c (Å): 2.7883 2.7883 12.2680
angles (deg): 90.00 90.00 90.00
Last column: nearest neighbours and their distance in Å.
Space group I4mm (No. 107)
Symmetry-distinct sites (fractional):
Mg 0.0000 0.0000 0.0000  4 Mg 2.79, 4 Pt 2.87, 4 Re 2.94
Re 0.0000 0.0000 0.6777  4 Pt 2.72, 4 Re 2.79, 4 Mg 2.94
Pt 0.0000 0.0000 0.3303  4 Re 2.72, 4 Pt 2.79, 4 Mg 2.87


Version x
Compound: MgRePt
Source: the Alexandria database
Functional: PBE
Structure: relaxed

Properties
DOS(E_F) ... 4.21 states/eV per cell
Total magnetic moment ... 0.0 μB/cell
V ... 15.6 A^3/atom

a b c (Å): 2.7365 4.0747 8.3687
angles (deg): 90.00 90.00 90.00
Last column: nearest neighbours and their distance in Å.
Space group Imm2 (No. 44)
Symmetry-distinct sites (fractional):
Mg 0.0000 0.0000 0.0000  2 Mg 2.74, 5 Re 2.76-2.84, 5 Pt 2.81
Re 0.0000 0.0000 0.3297  2 Re 2.74, 5 Mg 2.76-2.84, 5 Pt 2.80-2.82
Pt 0.0000 0.0000 0.6642  2 Pt 2.74, 5 Re 2.80-2.82, 5 Mg 2.81


Stability, highest: version w


Version w
Compound: MgRePt
Source: the Alexandria database
Functional: PBE
Structure: relaxed

Properties
DOS(E_F) ... 13.40 states/eV per cell
Total magnetic moment ... 1.2 μB/cell
V ... 18.4 A^3/atom

a b c (Å): 6.0404 6.0404 6.0404
angles (deg): 90.00 90.00 90.00
Last column: nearest neighbours and their distance in Å.
Space group F-43m (No. 216)
Symmetry-distinct sites (fractional):
Mg 0.0000 0.0000 0.0000  4 Pt 2.62
Re 0.0000 0.0000 0.5000  4 Pt 2.62
Pt 0.2500 0.2500 0.7500  4 Re 2.62, 4 Mg 2.62


Version x
Compound: MgRePt
Source: the Alexandria database
Functional: PBE
Structure: relaxed

Properties
DOS(E_F) ... 3.08 states/eV per cell
Total magnetic moment ... 0.0 μB/cell
V ... 15.8 A^3/atom

a b c (Å): 2.8172 2.8172 6.9012
angles (deg): 90.00 90.00 120.00
Last column: nearest neighbours and their distance in Å.
Space group P3m1 (No. 156)
Symmetry-distinct sites (fractional):
Mg 0.0000 0.0000 0.0000  3 Pt 2.80, 6 Mg 2.82, 3 Re 2.90
Re 0.3333 0.6667 0.6527  3 Pt 2.76, 6 Re 2.82, 3 Mg 2.90
Pt 0.6667 0.3333 0.3298  3 Re 2.76, 3 Mg 2.80, 6 Pt 2.82


Stability, highest: version x


Version w
Compound: Mg6Pt2Rh
Source: the Alexandria database
Functional: PBE
Structure: relaxed

Properties
DOS(E_F) ... 4.11 states/eV per cell
Total magnetic moment ... 0.0 μB/cell
V ... 20.3 A^3/atom

a b c (Å): 4.4006 6.2759 13.2629
angles (deg): 90.00 90.00 90.00
Last column: nearest neighbours and their distance in Å.
Space group Immm (No. 71)
Symmetry-distinct sites (fractional):
Mg 0.0000 0.2465 0.0000  2 Rh 2.69, 2 Pt 2.72
Mg 0.0000 0.2528 0.3348  1 Rh 2.69, 3 Pt 2.71-2.72
Pt 0.0000 0.5000 0.1666  8 Mg 2.71-2.72
Rh 0.0000 0.5000 0.5000  8 Mg 2.69


Version x
Compound: Mg6Pt2Rh
Source: the Alexandria database
Functional: PBE
Structure: relaxed

Properties
DOS(E_F) ... 3.74 states/eV per cell
Total magnetic moment ... 0.0 μB/cell
V ... 17.2 A^3/atom

a b c (Å): 4.5708 4.5708 8.5530
angles (deg): 90.00 90.00 120.00
Last column: nearest neighbours and their distance in Å.
Space group P-3m1 (No. 164)
Symmetry-distinct sites (fractional):
Mg 0.0000 0.0000 0.2028  1 Rh 2.54, 3 Pt 2.67
Mg 0.3333 0.6667 0.0677  1 Pt 2.74, 7 Mg 2.88-2.96
Mg 0.3333 0.6667 0.4142  3 Rh 2.74, 4 Pt 2.85-2.98, 4 Mg 2.96-3.02
Pt 0.3333 0.6667 0.7471  8 Mg 2.67-2.98
Rh 0.0000 0.0000 0.5000  8 Mg 2.54-2.74


Stability, highest: version x


Version w
Compound: Mg2PtRh2
Source: the Alexandria database
Functional: PBE
Structure: relaxed

Properties
DOS(E_F) ... 10.32 states/eV per cell
Total magnetic moment ... 0.0 μB/cell
V ... 16.1 A^3/atom

a b c (Å): 6.9925 6.9925 3.2911
angles (deg): 90.00 90.00 90.00
Last column: nearest neighbours and their distance in Å.
Space group P4/mbm (No. 127)
Symmetry-distinct sites (fractional):
Mg 0.1706 0.3294 0.0000  6 Rh 2.57-2.69
Pt 0.0000 0.0000 0.5000  4 Rh 2.74
Rh 0.1302 0.6302 0.5000  6 Mg 2.57-2.69, 1 Rh 2.58, 2 Pt 2.74


Version x
Compound: Mg2PtRh2
Source: the Alexandria database
Functional: PBE
Structure: relaxed

Properties
DOS(E_F) ... 1.94 states/eV per cell
Total magnetic moment ... 0.0 μB/cell
V ... 16.9 A^3/atom

a b c (Å): 3.7093 3.7093 12.3067
angles (deg): 90.00 90.00 90.00
Last column: nearest neighbours and their distance in Å.
Space group I4/mmm (No. 139)
Symmetry-distinct sites (fractional):
Mg 0.0000 0.5000 0.2500  4 Rh 2.62, 4 Mg 2.62
Pt 0.0000 0.0000 0.0000  8 Rh 2.90
Rh 0.0000 0.0000 0.3999  1 Rh 2.46, 4 Mg 2.62


Stability, highest: version w